Density functional theory data (GGA-PBE) for a geometry-optimized BaNi2P structure.

ρ in g cm⁻³: 5.9

Cell: 4.7996 4.7996 4.6660 Å, 65.60 65.60 101.22°
Closest atoms and distances in Å follow each position.
Fractional positions:
Ba 0.5000 0.5000 0.5000  4 Ni 2.56
Ni 0.0000 0.5000 0.0000  2 P 2.56, 2 Ba 2.56
Ni 0.5000 0.0000 0.0000  2 P 2.56, 2 Ba 2.56
P 0.0000 0.0000 0.5000  4 Ni 2.56

Density functional theory data (GGA-PBE) for a geometry-optimized Ba2NiP2 structure.

ρ in g cm⁻³: 5.3

Cell: 7.1457 7.1457 4.8608 Å, 90.00 90.00 90.00°
Closest atoms and distances in Å follow each position.
Fractional positions:
P 0.6135 0.1135 0.0000  1 P 2.29
Ni 0.0000 0.0000 0.0000  4 P 2.88
Ba 0.8166 0.3166 0.5000  6 P 3.18-3.26
Ba 0.6834 0.8166 0.5000  6 P 3.18-3.26
Ba 0.1834 0.6834 0.5000  6 P 3.18-3.26
P 0.3865 0.8865 0.0000  1 P 2.29
Ni 0.5000 0.5000 0.0000  4 P 2.88
P 0.1135 0.3865 0.0000  1 P 2.29
Ba 0.3166 0.1834 0.5000  6 P 3.18-3.26
P 0.8865 0.6135 0.0000  1 P 2.29

Density functional theory data (GGA-PBE) for a geometry-optimized BaNi2P structure.

ρ in g cm⁻³: 5.2

Cell: 5.2279 5.2279 5.2279 Å, 134.78 108.67 88.59°
Closest atoms and distances in Å follow each position.
Fractional positions:
P 0.6106 0.6106 0.0000  3 Ni 2.16-2.17
Ni 0.9008 0.9008 0.0000  1 P 2.17
Ba 0.2713 0.7713 0.5000  5 Ni 3.20-3.42, 4 P 3.24-3.28
Ni 0.7173 0.2173 0.5000  2 P 2.16

Number 1: D(E_F) 5.37 states/eV/cell, magnetic moment 0.0 μB per cell, E_form 438.8 meV per atom. Number 2: D(E_F) 6.94 states/eV/cell, magnetic moment 0.0 μB per cell, E_form -419.2 meV per atom. Number 3: D(E_F) 5.24 states/eV/cell, magnetic moment 0.0 μB per cell, E_form -111.6 meV per atom.